Record 1
Compound: Sc3Al4Ag4
Source: Alexandria via LeMat-Bulk
Functional: PBE-GGA
Structure: optimized geometry

- V (Å³/f.u.) = 205
- DOS(E_F) (states/eV/atom) = 0.49
- calculated formation energy (eV/atom) = -0.34
- uncorrected energy (eV/atom) = -4.462

The structure in POSCAR format:
```
Sc3Al4Ag4
1.0
3.208 0.000 0.000
0.000 4.560 0.000
1.599 2.274 14.039
Sc Al Ag
3 4 4
Cartesian
0.000 0.000 0.000
1.599 4.558 10.118
3.207 2.277 3.921
1.603 4.557 5.182
1.605 2.278 1.304
3.202 4.556 12.735
3.204 2.278 8.856
1.601 2.277 6.556
1.606 4.558 2.586
3.201 2.277 11.453
3.206 4.558 7.483
```


Record 2
Compound: Rb2ThCuS4
Source: Alexandria via LeMat-Bulk
Functional: PBE-GGA
Structure: optimized geometry

- V (Å³/f.u.) = 240
- DOS(E_F) (states/eV/atom) = 0.31
- ΔE_f (raw) (eV/atom) = -1.0956
- uncorrected energy (eV/atom) = -4.841

The structure in POSCAR format:
```
Rb2ThCuS4
1.0
5.574 -5.739 0.000
5.574 5.739 0.000
-3.857 0.000 7.494
Rb Th Cu S
4 2 2 8
Cartesian
0.000 0.000 0.000
-1.928 0.000 3.747
2.787 2.870 0.000
0.859 -2.870 3.747
5.574 0.000 0.000
3.646 0.000 3.747
0.859 2.870 3.747
2.787 -2.870 0.000
3.076 2.669 3.257
1.048 0.417 4.767
6.144 2.669 0.490
2.976 -0.417 1.020
4.315 0.417 6.474
1.148 -2.669 7.004
6.244 -0.417 2.727
4.216 -2.669 4.237
```


Q: The lowest DOS(E_F) belongs to which entry?
A: Rb2ThCuS4